No. 1
Below is LiLaTiO4 after structural relaxation, with properties calculated at the PBE level.

The structure in POSCAR format:
```
LiLaTiO4
1.0
3.775 0.000 0.000
0.000 3.775 0.000
0.000 0.000 12.343
Li La Ti O
2 2 2 8
direct
0.250 0.750 0.000
0.750 0.250 0.000
0.250 0.250 0.383
0.750 0.750 0.617
0.250 0.250 0.794
0.750 0.750 0.206
0.250 0.250 0.575
0.250 0.250 0.939
0.250 0.750 0.246
0.250 0.750 0.754
0.750 0.250 0.246
0.750 0.250 0.754
0.750 0.750 0.061
0.750 0.750 0.425
```

Results
Crystal system ... tetragonal
Raw formation energy ... -3.05 eV/atom
Magnetization ... 0.000 μB/atom
Symmetry ... P4/nmm (129)

---

No. 2
Below is LiLa3Ti2O9 after structural relaxation, with properties calculated at the PBE level.

The structure in POSCAR format:
```
LiLa3Ti2O9
1.0
5.528 0.000 0.000
-2.764 4.788 0.000
0.000 0.000 6.818
Li La Ti O
1 3 2 9
direct
0.000 0.000 0.000
0.000 0.000 0.500
0.333 0.667 0.153
0.667 0.333 0.847
0.333 0.667 0.677
0.667 0.333 0.323
0.000 0.500 0.500
0.169 0.339 0.829
0.169 0.831 0.829
0.339 0.169 0.171
0.500 0.000 0.500
0.500 0.500 0.500
0.661 0.831 0.829
0.831 0.169 0.171
0.831 0.661 0.171
```

Results
Crystal system ... trigonal
Raw formation energy ... -3.15 eV/atom
Magnetization ... 0.000 μB/atom
Symmetry ... P-3m1 (164)